1.
Entry from the Alexandria database: an optimized crystal structure of Tc3AuF (PBE-GGA).

Summary:
E_form (uncorrected), eV/f.u.: 4.309
Energy relative to the lowest polymorph listed for this composition, meV/atom: 0
Space group: No. 221

a b c (Å): 4.1920 4.1920 4.1920
angles (deg): 90.00 90.00 90.00
Last column: nearest neighbours and their distance in Å.
Positions (direct):
F 0.0000 0.0000 0.0000  6 Tc 2.10
Tc 0.5000 0.0000 0.0000  2 F 2.10
Tc 0.0000 0.5000 0.0000  2 F 2.10
Tc 0.0000 0.0000 0.5000  2 F 2.10
Au 0.5000 0.5000 0.5000  12 Tc 2.96



2.
Entry from the Alexandria database: an optimized crystal structure of TcAu2F (PBE-GGA).

Summary:
E_form (uncorrected), eV/f.u.: 0.957
Energy relative to the lowest polymorph listed for this composition, meV/atom: 0
Space group: No. 122

a b c (Å): 7.2625 7.2625 5.7874
angles (deg): 51.14 51.14 90.00
Last column: nearest neighbours and their distance in Å.
Positions (direct):
Au 0.6072 0.1250 0.2500  2 F 2.57, 2 Au 2.68, 2 Tc 2.74
Au 0.3750 0.3928 0.7500  2 F 2.57, 2 Au 2.68, 2 Tc 2.74
Au 0.1428 0.6250 0.2500  2 F 2.57, 2 Au 2.68, 2 Tc 2.74
Au 0.8750 0.8572 0.7500  2 F 2.57, 2 Au 2.68, 2 Tc 2.74
F 0.5000 0.5000 0.0000  4 Au 2.57, 2 Tc 2.67
F 0.2500 0.7500 0.5000  4 Au 2.57, 2 Tc 2.67
Tc 0.7500 0.2500 0.5000  2 F 2.67, 4 Au 2.74
Tc 0.0000 0.0000 0.0000  2 F 2.67, 4 Au 2.74



3.
Entry from the Alexandria database: an optimized crystal structure of TcAuF3 (PBE-GGA).

Summary:
E_form (uncorrected), eV/f.u.: -0.238
Energy relative to the lowest polymorph listed for this composition, meV/atom: 752
Space group: No. 221

a b c (Å): 4.3398 4.3398 4.3398
angles (deg): 90.00 90.00 90.00
Last column: nearest neighbours and their distance in Å.
Positions (direct):
Au 0.0000 0.0000 0.0000  6 F 2.17
Tc 0.5000 0.5000 0.5000  12 F 3.07
F 0.5000 0.0000 0.0000  2 Au 2.17
F 0.0000 0.5000 0.0000  2 Au 2.17
F 0.0000 0.0000 0.5000  2 Au 2.17



4.
Entry from the Alexandria database: an optimized crystal structure of TcAu2F8 (PBE-GGA).

Summary:
E_form (uncorrected), eV/f.u.: -15.406
Space group: No. 12

a b c (Å): 5.5033 5.9112 6.4821
angles (deg): 84.53 64.88 90.00
Last column: nearest neighbours and their distance in Å.
Positions (direct):
F 0.6608 0.0802 0.2058  1 Tc 1.87
F 0.1334 0.0802 0.2058  1 Tc 1.87
F 0.6052 0.3738 0.7895  1 Au 1.94
F 0.0743 0.3197 0.8514  1 Tc 2.00, 1 Au 2.06
F 0.9257 0.6803 0.1486  1 Tc 2.00, 1 Au 2.06
F 0.3392 0.9198 0.7942  1 Tc 1.87
F 0.3948 0.6262 0.2105  1 Au 1.94
F 0.8666 0.9198 0.7942  1 Tc 1.87
Au 0.7590 0.5283 0.4819  2 F 1.94-2.06
Au 0.2410 0.4717 0.5181  2 F 1.94-2.06
Tc 0.0000 0.0000 0.0000  6 F 1.87-2.00



5.
Entry from the Alexandria database: an optimized crystal structure of TcAuF3 (PBE-GGA).

Summary:
E_form (uncorrected), eV/f.u.: -3.998
Energy relative to the lowest polymorph listed for this composition, meV/atom: 0
Space group: No. 221

a b c (Å): 4.2908 4.2908 4.2908
angles (deg): 90.00 90.00 90.00
Last column: nearest neighbours and their distance in Å.
Positions (direct):
Tc 0.0000 0.0000 0.0000  6 F 2.15
F 0.0000 0.5000 0.0000  2 Tc 2.15
F 0.0000 0.0000 0.5000  2 Tc 2.15
F 0.5000 0.0000 0.0000  2 Tc 2.15
Au 0.5000 0.5000 0.5000  12 F 3.03



6.
Entry from the Alexandria database: an optimized crystal structure of Te2AuF (PBE-GGA).

Summary:
E_form (uncorrected), eV/f.u.: -1.418
Energy relative to the lowest polymorph listed for this composition, meV/atom: 0
Space group: No. 225

a b c (Å): 4.8518 4.8518 4.8518
angles (deg): 60.00 60.00 60.00
Last column: nearest neighbours and their distance in Å.
Positions (direct):
Te 0.2500 0.2500 0.2500  4 F 2.97, 4 Au 2.97
Te 0.7500 0.7500 0.7500  4 Au 2.97, 4 F 2.97
Au 0.5000 0.5000 0.5000  8 Te 2.97
F 0.0000 0.0000 0.0000  8 Te 2.97